# 1
This record from OQMD via LeMat-Bulk describes ErHgBi after structural relaxation. The functional is PBE-GGA.

```
data_ErHgBi
_chemical_formula_sum 'Er4 Hg4 Bi4'
_cell_length_a 7.369
_cell_length_b 7.369
_cell_length_c 7.369
_cell_angle_alpha 90.00
_cell_angle_beta 90.00
_cell_angle_gamma 90.00
_symmetry_space_group_name_H-M 'F -4 3 m'
_symmetry_Int_Tables_number 216
_symmetry_space_group_name_Hall 'F -4 2 3'
loop_
_atom_site_label
_atom_site_fract_x
_atom_site_fract_y
_atom_site_fract_z
Er1 0.000 0.000 0.000
Hg1 0.000 0.000 0.500
Bi1 0.250 0.250 0.250
```

Properties
- E_tot (eV per atom) = -3.034


# 2
This record from OQMD via LeMat-Bulk describes Er5Hg2Bi after structural relaxation. The functional is PBE-GGA.

```
data_Er5Hg2Bi
_chemical_formula_sum 'Er20 Hg8 Bi4'
_cell_length_a 8.218
_cell_length_b 8.218
_cell_length_c 13.059
_cell_angle_alpha 90.00
_cell_angle_beta 90.00
_cell_angle_gamma 90.00
_symmetry_space_group_name_H-M 'I 4/m c m'
_symmetry_Int_Tables_number 140
_symmetry_space_group_name_Hall '-I 4 2c'
loop_
_atom_site_label
_atom_site_fract_x
_atom_site_fract_y
_atom_site_fract_z
Er1 0.000 0.000 0.000
Er2 0.152 0.348 0.147
Hg1 0.142 0.358 0.500
Bi1 0.000 0.000 0.250
```

Properties
- E_tot (eV per atom) = -3.915


# 3
This record from OQMD via LeMat-Bulk describes HoErBi after structural relaxation. The functional is PBE-GGA.

```
data_HoErBi
_chemical_formula_sum 'Ho4 Er4 Bi4'
_cell_length_a 7.256
_cell_length_b 7.256
_cell_length_c 7.256
_cell_angle_alpha 90.00
_cell_angle_beta 90.00
_cell_angle_gamma 90.00
_symmetry_space_group_name_H-M 'F -4 3 m'
_symmetry_Int_Tables_number 216
_symmetry_space_group_name_Hall 'F -4 2 3'
loop_
_atom_site_label
_atom_site_fract_x
_atom_site_fract_y
_atom_site_fract_z
Ho1 0.000 0.000 0.000
Er1 0.000 0.000 0.500
Bi1 0.250 0.250 0.750
```

Properties
- E_tot (eV per atom) = -4.633


# 4
This record from OQMD via LeMat-Bulk describes HoErBiI2 after structural relaxation. The functional is PBE-GGA.

```
data_HoErBiI2
_chemical_formula_sum 'Ho1 Er1 Bi1 I2'
_cell_length_a 4.3579
_cell_length_b 4.3579
_cell_length_c 11.1953
_cell_angle_alpha 90.00
_cell_angle_beta 90.00
_cell_angle_gamma 120.00
_symmetry_space_group_name_H-M 'P 3 m 1'
_symmetry_Int_Tables_number 156
loop_
_symmetry_equiv_pos_as_xyz
'x,y,z'
'-y,x-y,z'
'-x+y,-x,z'
'-y,-x,z'
'-x+y,y,z'
'x,x-y,z'
loop_
_atom_site_label
_atom_site_fract_x
_atom_site_fract_y
_atom_site_fract_z
Ho1 0.0000 0.0000 0.0000
Er1 0.6667 0.3333 0.6924
Bi1 0.3333 0.6667 0.8452
I1 0.0000 0.0000 0.5232
I2 0.6667 0.3333 0.1699
```

Properties
- E_tot (eV per atom) = -4.342


Taking the records one at a time from the top gives magnetization values of 0.109 0.013 0.752 0.016 μB/cell.